{
  "formula": "Er2Cd",
  "functional": "PBE",
  "state": "optimized geometry",
  "lattice": [[5.324, 0.000, 0.000], [-2.662, 4.610, 0.000], [0.000, 0.000, 3.137]],
  "species": ["Er", "Er", "Cd"],
  "frac_coords": [[0.333, 0.667, 0.500], [0.667, 0.333, 0.500], [0.000, 0.000, 0.000]],
  "vol_a3_per_atom": 25.7,
  "energy_ev_per_cell": -9.8,
  "sg": "No. 191"
}



{
  "formula": "BaPmNO",
  "functional": "PBE",
  "state": "optimized geometry",
  "lattice": [[-0.748, 1.591, -3.569], [-6.141, -1.677, 0.538], [-1.470, 6.395, 3.159]],
  "species": ["Pm", "O", "Ba", "N", "O", "N", "Pm", "Ba"],
  "frac_coords": [[0.500, 0.998, 0.155], [0.500, 0.855, 0.866], [0.000, 0.989, 0.665], [0.000, 0.412, 0.699], [0.500, 0.355, 0.134], [0.000, 0.912, 0.301], [0.500, 0.498, 0.845], [0.000, 0.489, 0.335]],
  "vol_a3_per_atom": 23.1,
  "sg": "No. 26",
  "polymorph_energy_ev_per_atom": 0.059
}



| no. | M_tot (μB/f.u.) |
| --- | --- |
| 1 | 0.01 |
| 2 | 0.00 |